# 1
! Ac3SiN5 (PBE, optimized geometry); values from VASP
! Calculated volume in Å³ per cell: 294
! DOS at the Fermi energy in states/eV/f.u.: 5.421
! Formation energy (no corrections) in eV/atom: -0.970
! Calculated total energy in hartree per atom: -0.27811
&SYSTEM
  ibrav = 0, nat = 18, ntyp = 3
/
ATOMIC_SPECIES
Ac 227.00 Ac.upf
Si 28.09 Si.upf
N 14.01 N.upf
CELL_PARAMETERS angstrom
-3.568 3.568 5.765
3.568 -3.568 5.765
3.568 3.568 -5.765
ATOMIC_POSITIONS crystal
Ac 0.182 0.682 0.863
Ac 0.250 0.250 0.000
Ac 0.318 0.182 0.500
Ac 0.682 0.818 0.500
Ac 0.750 0.750 0.000
Ac 0.818 0.318 0.137
Si 0.250 0.750 0.500
Si 0.750 0.250 0.500
N 0.000 0.000 0.000
N 0.019 0.788 0.500
N 0.212 0.712 0.232
N 0.288 0.519 0.500
N 0.481 0.981 0.768
N 0.500 0.500 0.000
N 0.519 0.019 0.232
N 0.712 0.481 0.500
N 0.788 0.288 0.768
N 0.981 0.212 0.500

=====

# 2
! Ac6Si2N (PBE, optimized geometry); values from VASP
! Calculated volume in Å³ per cell: 656
! DOS at the Fermi energy in states/eV/f.u.: 9.677
! Formation energy (no corrections) in eV/atom: -0.357
! Calculated total energy in hartree per atom: -0.19204
&SYSTEM
  ibrav = 0, nat = 18, ntyp = 3
/
ATOMIC_SPECIES
Ac 227.00 Ac.upf
Si 28.09 Si.upf
N 14.01 N.upf
CELL_PARAMETERS angstrom
7.161 0.000 0.000
0.000 7.161 0.000
0.000 0.000 12.792
ATOMIC_POSITIONS crystal
Ac 0.195 0.195 0.149
Ac 0.195 0.195 0.851
Ac 0.226 0.226 0.500
Ac 0.274 0.726 0.000
Ac 0.305 0.695 0.351
Ac 0.305 0.695 0.649
Ac 0.695 0.305 0.351
Ac 0.695 0.305 0.649
Ac 0.726 0.274 0.000
Ac 0.774 0.774 0.500
Ac 0.805 0.805 0.149
Ac 0.805 0.805 0.851
Si 0.000 0.000 0.333
Si 0.000 0.000 0.667
Si 0.500 0.500 0.167
Si 0.500 0.500 0.833
N 0.000 0.000 0.000
N 0.500 0.500 0.500

=====

# 3
! Ac2SiN3 (PBE, optimized geometry); values from VASP
! Calculated volume in Å³ per cell: 395
! DOS at the Fermi energy in states/eV/f.u.: 1.229
! Formation energy (no corrections) in eV/atom: -1.160
! Calculated total energy in hartree per atom: -0.27914
&SYSTEM
  ibrav = 0, nat = 24, ntyp = 3
/
ATOMIC_SPECIES
Ac 227.00 Ac.upf
Si 28.09 Si.upf
N 14.01 N.upf
CELL_PARAMETERS angstrom
2.798 -5.699 0.000
2.798 5.699 0.000
0.000 0.000 12.396
ATOMIC_POSITIONS crystal
Ac 0.062 0.938 0.858
Ac 0.140 0.860 0.427
Ac 0.360 0.640 0.927
Ac 0.438 0.562 0.358
Ac 0.562 0.438 0.642
Ac 0.640 0.360 0.073
Ac 0.860 0.140 0.573
Ac 0.938 0.062 0.142
Si 0.241 0.759 0.668
Si 0.259 0.741 0.168
Si 0.741 0.259 0.832
Si 0.759 0.241 0.332
N 0.017 0.483 0.750
N 0.086 0.914 0.638
N 0.161 0.839 0.058
N 0.339 0.661 0.558
N 0.414 0.586 0.138
N 0.483 0.017 0.250
N 0.517 0.983 0.750
N 0.586 0.414 0.862
N 0.661 0.339 0.442
N 0.839 0.161 0.942
N 0.914 0.086 0.362
N 0.983 0.517 0.250

=====

# 4
! Ac6SiN2 (PBE, optimized geometry); values from VASP
! Calculated volume in Å³ per cell: 287
! DOS at the Fermi energy in states/eV/f.u.: 9.990
! Formation energy (no corrections) in eV/atom: -0.507
! Calculated total energy in hartree per atom: -0.20941
&SYSTEM
  ibrav = 0, nat = 9, ntyp = 3
/
ATOMIC_SPECIES
Ac 227.00 Ac.upf
Si 28.09 Si.upf
N 14.01 N.upf
CELL_PARAMETERS angstrom
7.033 0.000 0.000
-3.517 6.091 0.000
0.000 0.000 6.693
ATOMIC_POSITIONS crystal
Ac 0.000 0.360 0.226
Ac 0.000 0.640 0.774
Ac 0.360 0.000 0.226
Ac 0.360 0.360 0.774
Ac 0.640 0.000 0.774
Ac 0.640 0.640 0.226
Si 0.000 0.000 0.500
N 0.333 0.667 0.000
N 0.667 0.333 0.000

=====

# 5
! Ac4SiN2 (PBE, optimized geometry); values from VASP
! Calculated volume in Å³ per cell: 404
! DOS at the Fermi energy in states/eV/f.u.: 4.855
! Formation energy (no corrections) in eV/atom: -0.620
! Calculated total energy in hartree per atom: -0.22493
&SYSTEM
  ibrav = 0, nat = 14, ntyp = 3
/
ATOMIC_SPECIES
Ac 227.00 Ac.upf
Si 28.09 Si.upf
N 14.01 N.upf
CELL_PARAMETERS angstrom
-4.087 4.098 6.025
4.087 -4.098 6.025
4.087 4.098 -6.025
ATOMIC_POSITIONS crystal
Ac 0.254 0.234 0.480
Ac 0.254 0.774 0.020
Ac 0.264 0.239 0.025
Ac 0.286 0.761 0.525
Ac 0.714 0.239 0.475
Ac 0.736 0.761 0.975
Ac 0.746 0.226 0.980
Ac 0.746 0.766 0.520
Si 0.000 0.000 0.500
Si 0.000 0.500 0.000
N 0.000 0.000 0.000
N 0.365 0.615 0.750
N 0.500 0.000 0.500
N 0.635 0.385 0.250

=====

# 6
! Ac7Si2N2 (PBE, optimized geometry); values from VASP
! Calculated volume in Å³ per cell: 353
! DOS at the Fermi energy in states/eV/f.u.: 10.831
! Formation energy (no corrections) in eV/atom: -0.376
! Calculated total energy in hartree per atom: -0.20177
&SYSTEM
  ibrav = 0, nat = 11, ntyp = 3
/
ATOMIC_SPECIES
Ac 227.00 Ac.upf
Si 28.09 Si.upf
N 14.01 N.upf
CELL_PARAMETERS angstrom
6.934 -3.729 0.000
6.934 3.729 0.000
-1.010 0.000 6.820
ATOMIC_POSITIONS crystal
Ac 0.000 0.000 0.000
Ac 0.051 0.537 0.240
Ac 0.450 0.450 0.737
Ac 0.463 0.949 0.760
Ac 0.537 0.051 0.240
Ac 0.550 0.550 0.263
Ac 0.949 0.463 0.760
Si 0.156 0.844 0.500
Si 0.844 0.156 0.500
N 0.199 0.199 0.001
N 0.801 0.801 0.999

=====

# 7
! Ac3SiN4 (PBE, optimized geometry); values from VASP
! Calculated volume in Å³ per cell: 312
! DOS at the Fermi energy in states/eV/f.u.: 1.670
! Formation energy (no corrections) in eV/atom: -0.987
! Calculated total energy in hartree per atom: -0.27079
&SYSTEM
  ibrav = 0, nat = 16, ntyp = 3
/
ATOMIC_SPECIES
Ac 227.00 Ac.upf
Si 28.09 Si.upf
N 14.01 N.upf
CELL_PARAMETERS angstrom
7.612 0.000 0.000
0.000 7.126 0.000
0.000 0.000 5.757
ATOMIC_POSITIONS crystal
Ac 0.000 0.118 0.000
Ac 0.243 0.346 0.506
Ac 0.257 0.654 0.006
Ac 0.500 0.882 0.500
Ac 0.743 0.654 0.006
Ac 0.757 0.346 0.506
Si 0.000 0.832 0.480
Si 0.500 0.168 0.980
N 0.000 0.083 0.530
N 0.000 0.802 0.170
N 0.198 0.720 0.581
N 0.302 0.280 0.081
N 0.500 0.198 0.670
N 0.500 0.917 0.030
N 0.698 0.280 0.081
N 0.802 0.720 0.581

=====

# 8
! Ac12Si5N2 (PBE, optimized geometry); values from VASP
! Calculated volume in Å³ per cell: 655
! DOS at the Fermi energy in states/eV/f.u.: 15.961
! Formation energy (no corrections) in eV/atom: -0.455
! Calculated total energy in hartree per atom: -0.19673
&SYSTEM
  ibrav = 0, nat = 19, ntyp = 3
/
ATOMIC_SPECIES
Ac 227.00 Ac.upf
Si 28.09 Si.upf
N 14.01 N.upf
CELL_PARAMETERS angstrom
8.876 -3.974 0.000
8.876 3.974 0.000
-2.610 0.000 9.282
ATOMIC_POSITIONS crystal
Ac 0.002 0.002 0.199
Ac 0.093 0.591 0.919
Ac 0.106 0.596 0.429
Ac 0.404 0.894 0.571
Ac 0.409 0.907 0.081
Ac 0.495 0.495 0.179
Ac 0.505 0.505 0.821
Ac 0.591 0.093 0.919
Ac 0.596 0.106 0.429
Ac 0.894 0.404 0.571
Ac 0.907 0.409 0.081
Ac 0.998 0.998 0.801
Si 0.183 0.183 0.837
Si 0.195 0.195 0.350
Si 0.500 0.500 0.500
Si 0.805 0.805 0.650
Si 0.817 0.817 0.163
N 0.234 0.766 0.000
N 0.766 0.234 0.000

=====

# 9
! Ac3Si2N (PBE, optimized geometry); values from VASP
! Calculated volume in Å³ per cell: 344
! DOS at the Fermi energy in states/eV/f.u.: 1.611
! Formation energy (no corrections) in eV/atom: -0.627
! Calculated total energy in hartree per atom: -0.21595
&SYSTEM
  ibrav = 0, nat = 12, ntyp = 3
/
ATOMIC_SPECIES
Ac 227.00 Ac.upf
Si 28.09 Si.upf
N 14.01 N.upf
CELL_PARAMETERS angstrom
5.650 -4.028 0.000
5.650 4.028 0.000
-1.002 0.000 7.557
ATOMIC_POSITIONS crystal
Ac 0.115 0.885 0.750
Ac 0.290 0.437 0.052
Ac 0.437 0.290 0.552
Ac 0.563 0.710 0.448
Ac 0.710 0.563 0.948
Ac 0.885 0.115 0.250
Si 0.021 0.608 0.386
Si 0.392 0.979 0.114
Si 0.608 0.021 0.886
Si 0.979 0.392 0.614
N 0.414 0.586 0.750
N 0.586 0.414 0.250

=====

# 10
! Ac7Si3N2 (PBE, optimized geometry); values from VASP
! Calculated volume in Å³ per cell: 351
! DOS at the Fermi energy in states/eV/f.u.: 7.094
! Formation energy (no corrections) in eV/atom: -0.498
! Calculated total energy in hartree per atom: -0.20720
&SYSTEM
  ibrav = 0, nat = 12, ntyp = 3
/
ATOMIC_SPECIES
Ac 227.00 Ac.upf
Si 28.09 Si.upf
N 14.01 N.upf
CELL_PARAMETERS angstrom
2.637 -13.155 0.000
2.637 13.155 0.000
0.000 0.000 5.066
ATOMIC_POSITIONS crystal
Ac 0.000 0.000 0.000
Ac 0.097 0.903 0.500
Ac 0.203 0.797 0.000
Ac 0.398 0.602 0.000
Ac 0.602 0.398 0.000
Ac 0.797 0.203 0.000
Ac 0.903 0.097 0.500
Si 0.317 0.683 0.500
Si 0.500 0.500 0.500
Si 0.683 0.317 0.500
N 0.106 0.894 0.000
N 0.894 0.106 0.000

=====

# 11
! Ac6Si3N (PBE, optimized geometry); values from VASP
! Calculated volume in Å³ per cell: 636
! DOS at the Fermi energy in states/eV/f.u.: 8.635
! Formation energy (no corrections) in eV/atom: -0.510
! Calculated total energy in hartree per atom: -0.19972
&SYSTEM
  ibrav = 0, nat = 20, ntyp = 3
/
ATOMIC_SPECIES
Ac 227.00 Ac.upf
Si 28.09 Si.upf
N 14.01 N.upf
CELL_PARAMETERS angstrom
6.995 0.000 0.000
0.000 8.354 0.000
-6.945 0.000 10.888
ATOMIC_POSITIONS crystal
Ac 0.080 0.205 0.435
Ac 0.080 0.295 0.935
Ac 0.259 0.666 0.437
Ac 0.259 0.834 0.937
Ac 0.373 0.048 0.234
Ac 0.373 0.452 0.734
Ac 0.627 0.548 0.266
Ac 0.627 0.952 0.766
Ac 0.741 0.166 0.063
Ac 0.741 0.334 0.563
Ac 0.920 0.705 0.065
Ac 0.920 0.795 0.565
Si 0.182 0.110 0.745
Si 0.182 0.390 0.245
Si 0.500 0.000 0.500
Si 0.500 0.500 0.000
Si 0.818 0.610 0.755
Si 0.818 0.890 0.255
N 0.000 0.000 0.000
N 0.000 0.500 0.500

=====

# 12
! Ac6Si2N (PBE, optimized geometry); values from VASP
! Calculated volume in Å³ per cell: 592
! DOS at the Fermi energy in states/eV/f.u.: 9.320
! Formation energy (no corrections) in eV/atom: -0.490
! Calculated total energy in hartree per atom: -0.19694
&SYSTEM
  ibrav = 0, nat = 18, ntyp = 3
/
ATOMIC_SPECIES
Ac 227.00 Ac.upf
Si 28.09 Si.upf
N 14.01 N.upf
CELL_PARAMETERS angstrom
7.008 0.000 0.000
0.000 8.354 0.000
-6.761 0.000 10.119
ATOMIC_POSITIONS crystal
Ac 0.108 0.164 0.442
Ac 0.108 0.336 0.942
Ac 0.303 0.709 0.441
Ac 0.303 0.791 0.941
Ac 0.384 0.036 0.253
Ac 0.384 0.464 0.753
Ac 0.616 0.536 0.247
Ac 0.616 0.964 0.747
Ac 0.697 0.209 0.059
Ac 0.697 0.291 0.559
Ac 0.892 0.664 0.058
Ac 0.892 0.836 0.558
Si 0.193 0.118 0.754
Si 0.193 0.382 0.254
Si 0.807 0.618 0.746
Si 0.807 0.882 0.246
N 0.500 0.000 0.500
N 0.500 0.500 0.000